This record from Alexandria describes ZnH2Br at its PBEsol-relaxed geometry. The functional is SCAN.

Cell and atoms, written as extended XYZ:
```
8
Lattice="5.3712 0.0000 0.0000 2.6856 4.6516 0.0000 2.6856 1.5505 4.3856" Properties=species:S:1:pos:R:3 pbc="T T T"
Br 5.3712 3.1011 2.1928
Br 8.0569 4.6516 3.2892
H 4.0284 0.7753 0.5482
H 2.6856 1.5505 2.7410
H 1.3428 0.7753 0.5482
H 2.6856 3.1011 0.5482
Zn 0.0000 0.0000 0.0000
Zn 2.6856 1.5505 1.0964
```

Computed properties:
* uncorrected energy: -9.68 eV per atom
* symmetry: Fd-3m



This record from Alexandria describes TePb at its PBEsol-relaxed geometry. The functional is SCAN.

Cell and atoms, written as extended XYZ:
```
4
Lattice="4.4565 0.0000 0.0000 -2.2282 3.8594 0.0000 0.0000 0.0000 7.8445" Properties=species:S:1:pos:R:3 pbc="T T T"
Pb 0.0000 0.0000 0.0000
Pb 0.0000 0.0000 3.9222
Te 0.0000 2.5730 1.9611
Te 2.2282 1.2865 5.8834
```

Computed properties:
* E_form (uncorrected): -342 meV/atom
* symmetry: P6_3/mmc



This record from Alexandria describes Ta3Bi2S6 at its PBEsol-relaxed geometry. The functional is SCAN.

Cell and atoms, written as extended XYZ:
```
22
Lattice="-3.9855 3.3800 -2.2225 -1.1505 -5.4707 0.9982 -5.4545 4.0577 15.9520" Properties=species:S:1:pos:R:3 pbc="T T T"
Bi -2.0955 -2.5204 -0.0754
Bi -4.8228 -0.4916 7.9006
Bi -3.0405 0.4298 -1.1490
Bi -5.7678 2.4587 6.8270
Ta -6.7749 5.3196 10.4673
Ta -4.8657 -0.6409 12.6362
Ta -1.7393 -0.7720 4.3140
Ta -4.8225 -0.3935 3.1635
Ta -5.7681 2.3606 11.5642
Ta -2.6651 2.1182 3.2622
S -0.8601 0.6399 2.5155
S -3.5874 2.6687 10.4915
S -6.6477 3.1133 9.4006
S -3.9428 -1.1462 5.3270
S -1.8671 1.3890 5.4605
S -4.5944 3.4179 13.4365
S -7.6150 3.8329 12.2295
S -2.9755 -1.8658 2.4982
S -3.9205 1.0844 1.4246
S -6.6700 0.8827 13.3031
S -5.7028 0.1631 10.4742
S -4.8878 1.8040 4.2535
```

Computed properties:
* E_form (uncorrected): -953 meV/atom
* symmetry: P6_3/mcm



This record from Alexandria describes Mn2AlW at its PBEsol-relaxed geometry. The functional is SCAN.

Cell and atoms, written as extended XYZ:
```
4
Lattice="2.9520 0.0000 0.0000 0.0000 2.9520 0.0000 0.0000 0.0000 5.7539" Properties=species:S:1:pos:R:3 pbc="T T T"
Al 1.4760 1.4760 2.8769
Mn 0.0000 0.0000 4.3313
Mn 0.0000 0.0000 1.4225
W 1.4760 1.4760 0.0000
```

Computed properties:
* uncorrected energy: -28.67 eV per atom
* symmetry: P4/mmm



This record from Alexandria describes Zn16Tc at its PBEsol-relaxed geometry. The functional is SCAN.

Cell and atoms, written as extended XYZ:
```
34
Lattice="-3.5047 4.5569 -3.4352 -4.0988 -3.6343 3.8523 1.3496 7.3418 8.3622" Properties=species:S:1:pos:R:3 pbc="T T T"
Zn -3.1082 4.7887 3.2805
Zn -4.2468 7.5131 7.1115
Zn -3.4244 4.0933 -0.9454
Zn -1.5853 7.0542 2.6761
Zn -3.6878 1.6354 -0.3110
Zn -2.6280 -1.6906 3.0092
Zn -4.6687 1.2101 6.1032
Zn 0.6748 3.6709 4.1811
Zn -2.1510 0.9046 5.9651
Zn -2.5662 6.6289 9.0903
Zn -4.1124 4.9993 7.5438
Zn -3.5868 0.6089 3.8007
Zn -4.1030 7.3597 2.8142
Zn -3.1458 3.4756 5.4988
Zn -2.6672 7.6554 4.9786
Zn -5.1458 -1.3851 3.1473
Zn -1.6291 4.6980 7.4076
Zn -2.8296 4.1710 9.7247
Zn -2.1416 3.2650 1.2355
Zn 0.0000 0.0000 0.0000
Zn -4.6249 3.5663 1.3717
Zn -3.6260 9.9549 5.7701
Zn -1.1082 9.6495 5.6320
Zn -3.1261 5.7161 0.9031
Zn -1.6923 2.4643 3.6190
Zn -2.0072 0.7512 1.6678
Zn -0.9466 7.1127 6.9305
Zn -1.2615 5.3996 4.9792
Zn -5.3074 1.1516 1.8488
Zn -4.5617 5.8000 5.1603
Zn -3.1279 2.5482 7.8763
Zn -4.9925 2.8648 3.8001
Tc -3.7338 -1.4179 5.6039
Tc -2.5202 9.6822 3.1754
```

Computed properties:
* uncorrected energy: -14.79 eV per atom
* symmetry: Cmcm



This record from Alexandria describes Be2ZnSi at its PBEsol-relaxed geometry. The functional is SCAN.

Cell and atoms, written as extended XYZ:
```
4
Lattice="3.6023 0.0000 0.0000 0.0000 3.6034 0.0000 0.0000 0.0000 3.4961" Properties=species:S:1:pos:R:3 pbc="T T T"
Zn 0.0000 1.8017 1.7480
Si 1.8011 0.0000 1.7480
Be 1.8011 1.8017 0.0000
Be 0.0000 0.0000 0.0000
```

Computed properties:
* E_form (uncorrected): 326 meV/atom
* symmetry: P4/mmm



This record from Alexandria describes Sm2Co18Si4C3 at its PBEsol-relaxed geometry. The functional is SCAN.

Cell and atoms, written as extended XYZ:
```
27
Lattice="-4.2183 -4.6863 0.0537 3.0279 -6.9333 0.3726 -2.3112 -2.0524 6.9155" Properties=species:S:1:pos:R:3 pbc="T T T"
Co -5.0783 -8.5008 6.5465
Co -3.6878 -5.5473 4.1476
Co -1.6171 -2.2516 4.7091
Co -0.2975 -9.7542 1.5298
Co -0.0148 -5.8304 2.4870
Co -2.1280 -9.0839 3.1897
Co 1.5767 -5.1712 0.7954
Co -2.4269 -5.1231 1.8415
Co -3.4868 -7.8417 4.8549
Co -1.8846 -11.4205 2.6328
Co -1.0748 -8.5489 5.5004
Co -1.4710 -7.5739 1.4311
Co 0.8379 -7.6129 0.8590
Co 0.1861 -8.1247 3.1943
Co -1.3736 -4.5882 4.1521
Co -2.0306 -6.0982 5.9108
Co -4.3395 -6.0591 6.4829
Co -3.2041 -3.9179 5.8121
Si -0.5952 -5.8098 0.2132
Si -3.2648 -3.3694 3.4846
Si -1.7508 -6.8360 3.6709
Si 0.0000 0.0000 0.0000
Sm -0.3804 -2.8232 1.7956
Sm -3.1212 -10.8489 5.5463
C -1.1556 -1.0262 3.4577
C 0.3583 -4.4929 3.6441
C 1.5140 -3.4667 0.1863
```

Computed properties:
* E_form (uncorrected): -202 meV/atom
* symmetry: C2/m



This record from Alexandria describes Ca2CrRe at its PBEsol-relaxed geometry. The functional is SCAN.

Cell and atoms, written as extended XYZ:
```
4
Lattice="-2.4815 0.0675 2.8938 -2.6962 -1.4409 -2.2784 1.3721 -4.5975 1.2838" Properties=species:S:1:pos:R:3 pbc="T T T"
Ca -1.3481 -0.7204 -1.1392
Ca -1.2407 0.0337 1.4469
Re 0.6861 -2.2988 0.6419
Cr -1.9028 -2.9855 0.9497
```

Computed properties:
* uncorrected energy: -26.23 eV per atom
* symmetry: P4/mmm



This record from Alexandria describes TaCo2Rh at its PBEsol-relaxed geometry. The functional is SCAN.

Cell and atoms, written as extended XYZ:
```
4
Lattice="4.1897 0.0000 0.0000 2.0949 3.6284 0.0000 2.0949 1.2095 3.4209" Properties=species:S:1:pos:R:3 pbc="T T T"
Co 0.0000 0.0000 0.0000
Co 6.2846 3.6284 2.5657
Rh 4.1897 2.4189 1.7104
Ta 2.0949 1.2095 0.8552
```

Computed properties:
* uncorrected energy: -33.85 eV per atom
* symmetry: F-43m



This record from Alexandria describes MnZn2Fe at its PBEsol-relaxed geometry. The functional is SCAN.

Cell and atoms, written as extended XYZ:
```
4
Lattice="2.6020 0.0000 0.0000 0.0000 2.6020 0.0000 0.0000 0.0000 7.2753" Properties=species:S:1:pos:R:3 pbc="T T T"
Mn 1.3010 1.3010 3.6376
Zn 0.0000 0.0000 5.4752
Zn 0.0000 0.0000 1.8001
Fe 1.3010 1.3010 0.0000
```

Computed properties:
* uncorrected energy: -15.95 eV per atom
* symmetry: P4/mmm



This record from Alexandria describes RbGeNO2 at its PBEsol-relaxed geometry. The functional is SCAN.

Cell and atoms, written as extended XYZ:
```
5
Lattice="3.8886 0.0000 0.0000 0.0000 3.8886 0.0000 0.0000 0.0000 4.0504" Properties=species:S:1:pos:R:3 pbc="T T T"
N 0.0000 0.0000 2.0252
Ge 0.0000 0.0000 0.0000
Rb 1.9443 1.9443 2.0252
O 0.0000 1.9443 0.0000
O 1.9443 0.0000 0.0000
```

Computed properties:
* E_form (uncorrected): -501 meV/atom
* symmetry: P4/mmm



This record from Alexandria describes La2MgPb at its PBEsol-relaxed geometry. The functional is SCAN.

Cell and atoms, written as extended XYZ:
```
4
Lattice="-2.0628 -1.9141 -2.3965 0.6879 -3.7467 2.4003 -5.8851 1.4320 3.9218" Properties=species:S:1:pos:R:3 pbc="T T T"
La -1.4956 0.3639 0.9966
La -4.3895 1.0681 2.9252
Mg -0.6874 -2.8304 0.0019
Pb -3.6300 -2.1144 1.9628
```

Computed properties:
* uncorrected energy: -42.26 eV per atom
* symmetry: Pmmm



In Å³/cell, the calculated volume values for the records above are, in order, 109.6 134.9 484.3 50.1 472.0 45.4 300.0 72.2 52.0 49.3 61.2 120.1.
In μB/cell, the total moment values for the records above are, in order, 2.04 0.00 0.00 0.78 0.00 0.00 19.04 1.54 1.68 5.63 2.01 0.00.